(1)
Pm4Tl3S8 | PBE-GGA | optimized geometry Values from VASP.

Geometry as Quantum ESPRESSO input:
```
&SYSTEM
  ibrav = 0, nat = 15, ntyp = 3
/
ATOMIC_SPECIES
S 32.06 S.upf
Pm 145.00 Pm.upf
Tl 204.38 Tl.upf
ATOMIC_POSITIONS crystal
S 0.0000 0.7584 0.2416
S 0.0231 0.7694 0.7694
S 0.4691 0.2207 0.2207
S 0.0000 0.2416 0.7584
S 0.5000 0.7614 0.2386
S 0.5000 0.2386 0.7614
S 0.9769 0.2306 0.2306
S 0.5309 0.7793 0.7793
Pm 0.0000 0.0000 0.5000
Pm 0.5000 0.0000 0.0000
Pm 0.0000 0.5000 0.0000
Pm 0.0000 0.0000 0.0000
Tl 0.5000 0.5000 0.0000
Tl 0.5000 0.5000 0.5000
Tl 0.5000 0.0000 0.5000
CELL_PARAMETERS angstrom
8.2531 -0.0827 -0.1189
-3.9968 7.2869 0.2021
-3.9968 -2.3401 6.9039
```

Output
E: -5.309 eV/atom
DOS at the Fermi energy: 5.286 states/eV/f.u.
energy relative to the elements, uncorrected: -20.5 eV per formula unit

***

(2)
Pm2TlS | PBE-GGA | optimized geometry Values from VASP.

Geometry as Quantum ESPRESSO input:
```
&SYSTEM
  ibrav = 0, nat = 4, ntyp = 3
/
ATOMIC_SPECIES
Pm 145.00 Pm.upf
S 32.06 S.upf
Tl 204.38 Tl.upf
ATOMIC_POSITIONS crystal
Pm 0.0658 0.0658 0.8027
Pm 0.2672 0.2672 0.1984
S 0.6674 0.6674 0.9979
Tl 0.4996 0.4996 0.5011
CELL_PARAMETERS angstrom
-1.5950 -3.3600 1.2780
2.3036 -2.8591 1.4093
-0.4337 1.1441 8.5176
```

Output
E: -5.148 eV/atom
DOS at the Fermi energy: 3.691 states/eV/f.u.
energy relative to the elements, uncorrected: -4.6 eV per formula unit
relative energy among the computed polymorphs: 42 meV per atom

***

(3)
PmTlS | PBE-GGA | optimized geometry Values from VASP.

Geometry as Quantum ESPRESSO input:
```
&SYSTEM
  ibrav = 0, nat = 6, ntyp = 3
/
ATOMIC_SPECIES
Pm 145.00 Pm.upf
Tl 204.38 Tl.upf
S 32.06 S.upf
ATOMIC_POSITIONS crystal
Pm 0.3988 0.3988 0.8037
Pm 0.6012 0.6012 0.1963
Tl 0.1453 0.1453 0.5642
Tl 0.8547 0.8547 0.4358
S 0.2925 0.2925 0.1224
S 0.7075 0.7075 0.8776
CELL_PARAMETERS angstrom
4.7112 0.0000 0.0000
2.3556 4.0800 0.0000
2.3556 1.3600 8.8704
```

Output
E: -4.840 eV/atom
DOS at the Fermi energy: 1.118 states/eV/f.u.
energy relative to the elements, uncorrected: -3.3 eV per formula unit

***

(4)
PmTlS14 | PBE-GGA | optimized geometry Values from VASP.

Geometry as Quantum ESPRESSO input:
```
&SYSTEM
  ibrav = 0, nat = 32, ntyp = 3
/
ATOMIC_SPECIES
S 32.06 S.upf
Pm 145.00 Pm.upf
Tl 204.38 Tl.upf
ATOMIC_POSITIONS crystal
S 0.6563 0.6475 0.6069
S 0.9423 0.5416 0.7522
S 0.7106 0.3099 0.7522
S 0.2894 0.6901 0.2478
S 0.4594 0.4506 0.6069
S 0.1953 0.3668 0.8285
S 0.9617 0.1332 0.8285
S 0.0491 0.4093 0.6398
S 0.4594 0.8525 0.0088
S 0.3437 0.9506 0.9912
S 0.1325 0.1671 0.9654
S 0.6563 0.0494 0.0088
S 0.8675 0.8329 0.0346
S 0.5406 0.1475 0.9912
S 0.7304 0.0907 0.6398
S 0.0577 0.4584 0.2478
S 0.7106 0.9584 0.4008
S 0.7017 0.6671 0.0346
S 0.0577 0.8099 0.5992
S 0.5406 0.5494 0.3931
S 0.0383 0.8668 0.1715
S 0.2983 0.3329 0.9654
S 0.2696 0.9093 0.3602
S 0.9423 0.1901 0.4008
S 0.9509 0.5907 0.3602
S 0.3437 0.3525 0.3931
S 0.2894 0.0416 0.5992
S 0.8047 0.6332 0.1715
Pm 0.0000 0.5000 0.0000
Pm 0.0000 0.0000 0.5000
Tl 0.6587 0.2500 0.4087
Tl 0.3413 0.7500 0.5913
CELL_PARAMETERS angstrom
-4.8176 7.2048 6.5991
4.8176 -7.2048 6.5991
4.8176 7.2048 -6.5991
```

Output
E: -4.220 eV/atom
DOS at the Fermi energy: 5.837 states/eV/f.u.
energy relative to the elements, uncorrected: -2.6 eV per formula unit

***

(5)
PmTlS2 | PBE-GGA | optimized geometry Values from VASP.

Geometry as Quantum ESPRESSO input:
```
&SYSTEM
  ibrav = 0, nat = 4, ntyp = 3
/
ATOMIC_SPECIES
Tl 204.38 Tl.upf
S 32.06 S.upf
Pm 145.00 Pm.upf
ATOMIC_POSITIONS crystal
Tl 0.4958 0.4958 0.5126
S 0.2683 0.2683 0.1952
S 0.0690 0.0690 0.7931
Pm 0.6670 0.6670 0.9991
CELL_PARAMETERS angstrom
-2.9540 2.8483 0.5332
-3.8968 -1.1752 0.7464
-0.8692 0.6231 7.9135
```

Output
E: -5.285 eV/atom
DOS at the Fermi energy: 0.000 states/eV/f.u.
energy relative to the elements, uncorrected: -5.8 eV per formula unit
relative energy among the computed polymorphs: 23 meV per atom

***

(6)
Pm3Tl5S12 | PBE-GGA | optimized geometry Values from VASP.

Geometry as Quantum ESPRESSO input:
```
&SYSTEM
  ibrav = 0, nat = 80, ntyp = 3
/
ATOMIC_SPECIES
S 32.06 S.upf
Tl 204.38 Tl.upf
Pm 145.00 Pm.upf
ATOMIC_POSITIONS crystal
S 0.3664 0.4132 0.0858
S 0.0858 0.9132 0.3664
S 0.4132 0.0468 0.3274
S 0.1336 0.4142 0.0868
S 0.4132 0.3664 0.5858
S 0.0868 0.1726 0.4532
S 0.9532 0.5868 0.1726
S 0.0868 0.9142 0.1336
S 0.2194 0.6726 0.0858
S 0.6336 0.5868 0.9142
S 0.5868 0.9532 0.6726
S 0.9142 0.8274 0.7806
S 0.7194 0.1336 0.0468
S 0.1726 0.0858 0.7194
S 0.8664 0.5858 0.9132
S 0.2806 0.8664 0.9532
S 0.5868 0.6336 0.4142
S 0.5858 0.8664 0.4132
S 0.4142 0.2806 0.3274
S 0.3274 0.7806 0.4142
S 0.0858 0.1726 0.2194
S 0.4532 0.6726 0.0868
S 0.5468 0.3274 0.9132
S 0.2806 0.4142 0.8274
S 0.9132 0.8274 0.5468
S 0.4532 0.7806 0.8664
S 0.5858 0.7194 0.6726
S 0.8664 0.2806 0.4532
S 0.9132 0.0858 0.8664
S 0.3274 0.5468 0.4132
S 0.5468 0.2194 0.1336
S 0.8274 0.9142 0.2806
S 0.9532 0.3664 0.2806
S 0.1726 0.0868 0.9532
S 0.1336 0.7194 0.5468
S 0.7806 0.4532 0.3664
S 0.6726 0.2194 0.5858
S 0.7194 0.5858 0.1726
S 0.2194 0.5468 0.6336
S 0.4142 0.1336 0.5868
S 0.7806 0.3274 0.9142
S 0.6726 0.4532 0.5868
S 0.6336 0.0468 0.2194
S 0.3664 0.9532 0.7806
S 0.9142 0.0868 0.6336
S 0.0468 0.6336 0.7194
S 0.0468 0.4132 0.8274
S 0.8274 0.9132 0.0468
Tl 0.8750 0.6250 0.7500
Tl 0.3750 0.2500 0.1250
Tl 0.7500 0.1250 0.8750
Tl 0.1250 0.7500 0.3750
Tl 0.5000 0.5000 0.5000
Tl 0.6250 0.8750 0.2500
Tl 0.5000 0.5000 0.0000
Tl 0.0000 0.5000 0.5000
Tl 0.2500 0.3750 0.6250
Tl 0.1250 0.3750 0.2500
Tl 0.3750 0.1250 0.7500
Tl 0.0000 0.0000 0.5000
Tl 0.5000 0.0000 0.5000
Tl 0.0000 0.5000 0.0000
Tl 0.8750 0.2500 0.6250
Tl 0.6250 0.7500 0.8750
Tl 0.2500 0.8750 0.1250
Tl 0.7500 0.6250 0.3750
Tl 0.0000 0.0000 0.0000
Tl 0.5000 0.0000 0.0000
Pm 0.2500 0.6250 0.8750
Pm 0.2500 0.1250 0.3750
Pm 0.6250 0.3750 0.7500
Pm 0.8750 0.1250 0.2500
Pm 0.7500 0.8750 0.6250
Pm 0.3750 0.6250 0.2500
Pm 0.7500 0.3750 0.1250
Pm 0.8750 0.7500 0.1250
Pm 0.3750 0.7500 0.6250
Pm 0.1250 0.8750 0.7500
Pm 0.1250 0.2500 0.8750
Pm 0.6250 0.2500 0.3750
CELL_PARAMETERS angstrom
-9.9588 4.7432 -8.5570
9.1976 -7.5522 -7.2984
-5.7757 -7.9865 9.8870
```

Output
E: -4.549 eV/atom
DOS at the Fermi energy: 5.542 states/eV/f.u.
energy relative to the elements, uncorrected: -15.4 eV per formula unit

***

(7)
Pm2TlS | PBE-GGA | optimized geometry Values from VASP.

Geometry as Quantum ESPRESSO input:
```
&SYSTEM
  ibrav = 0, nat = 4, ntyp = 3
/
ATOMIC_SPECIES
S 32.06 S.upf
Pm 145.00 Pm.upf
Tl 204.38 Tl.upf
ATOMIC_POSITIONS crystal
S 0.5000 0.5000 0.0000
Pm 0.0000 0.0000 0.7823
Pm 0.0000 0.0000 0.2177
Tl 0.5000 0.5000 0.5000
CELL_PARAMETERS angstrom
3.4976 0.0000 0.0000
0.0000 3.4976 0.0000
0.0000 0.0000 8.2035
```

Output
E: -4.985 eV/atom
DOS at the Fermi energy: 3.796 states/eV/f.u.
energy relative to the elements, uncorrected: -3.9 eV per formula unit
relative energy among the computed polymorphs: 206 meV per atom

***

(8)
PmTl2S4 | PBE-GGA | optimized geometry Values from VASP.

Geometry as Quantum ESPRESSO input:
```
&SYSTEM
  ibrav = 0, nat = 7, ntyp = 3
/
ATOMIC_SPECIES
S 32.06 S.upf
Tl 204.38 Tl.upf
Pm 145.00 Pm.upf
ATOMIC_POSITIONS crystal
S 0.7410 0.7410 0.2470
S 0.2590 0.2590 0.2470
S 0.2590 0.7410 0.7530
S 0.7410 0.2590 0.7530
Tl 0.5000 0.0000 0.5000
Tl 0.0000 0.5000 0.5000
Pm 0.0000 0.0000 0.0000
CELL_PARAMETERS angstrom
6.0410 0.0000 0.0000
0.0000 6.0410 0.0000
0.0000 0.0000 6.2899
```

Output
E: -4.322 eV/atom
DOS at the Fermi energy: 3.692 states/eV/f.u.
energy relative to the elements, uncorrected: -4.3 eV per formula unit

***

(9)
PmTl5S5 | PBE-GGA | optimized geometry Values from VASP.

Geometry as Quantum ESPRESSO input:
```
&SYSTEM
  ibrav = 0, nat = 11, ntyp = 3
/
ATOMIC_SPECIES
Tl 204.38 Tl.upf
S 32.06 S.upf
Pm 145.00 Pm.upf
ATOMIC_POSITIONS crystal
Tl 0.6728 0.3456 0.3164
Tl 0.6781 0.3563 0.8504
Tl 0.3272 0.6544 0.6836
Tl 0.3219 0.6437 0.1496
Tl 0.0000 0.0000 0.5000
S 0.1536 0.3072 0.3051
S 0.8464 0.6928 0.6949
S 0.8417 0.6835 0.1547
S 0.5000 0.0000 0.0000
S 0.1583 0.3165 0.8453
Pm 0.0000 0.0000 0.0000
CELL_PARAMETERS angstrom
5.7424 0.0000 0.0000
-2.8712 6.8634 -0.0729
0.0000 -2.6448 8.4249
```

Output
E: -3.993 eV/atom
DOS at the Fermi energy: 4.948 states/eV/f.u.
energy relative to the elements, uncorrected: -6.7 eV per formula unit

***

(10)
Pm7TlS5 | PBE-GGA | optimized geometry Values from VASP.

Geometry as Quantum ESPRESSO input:
```
&SYSTEM
  ibrav = 0, nat = 26, ntyp = 3
/
ATOMIC_SPECIES
Pm 145.00 Pm.upf
S 32.06 S.upf
Tl 204.38 Tl.upf
ATOMIC_POSITIONS crystal
Pm 0.0909 0.1818 0.6079
Pm 0.6361 0.2720 0.4639
Pm 0.4827 0.9656 0.2500
Pm 0.9094 0.8188 0.1080
Pm 0.8246 0.6487 0.6708
Pm 0.1757 0.3518 0.1708
Pm 0.3646 0.7294 0.9639
Pm 0.8249 0.6494 0.8293
Pm 0.3644 0.7291 0.5361
Pm 0.9097 0.8193 0.3920
Pm 0.0912 0.1823 0.8921
Pm 0.1760 0.3525 0.3292
Pm 0.6360 0.2718 0.0361
Pm 0.5178 0.0355 0.7499
S 0.5438 0.0876 0.1398
S 0.5441 0.0882 0.3602
S 0.2738 0.5477 0.0694
S 0.7267 0.4531 0.5694
S 0.0003 0.0006 0.0000
S 0.7268 0.4535 0.9306
S 0.4567 0.9136 0.8602
S 0.2739 0.5480 0.4306
S 0.0003 0.0005 0.5000
S 0.4564 0.9129 0.6398
Tl 0.8002 0.5997 0.2499
Tl 0.2004 0.4015 0.7501
CELL_PARAMETERS angstrom
4.0541 -0.0013 0.0000
-2.0292 6.7189 0.0094
0.0000 -0.0234 24.3771
```

Output
E: -5.970 eV/atom
DOS at the Fermi energy: 7.454 states/eV/f.u.
energy relative to the elements, uncorrected: -21.3 eV per formula unit

***

(11)
Pm5TlS4 | PBE-GGA | optimized geometry Values from VASP.

Geometry as Quantum ESPRESSO input:
```
&SYSTEM
  ibrav = 0, nat = 10, ntyp = 3
/
ATOMIC_SPECIES
Pm 145.00 Pm.upf
S 32.06 S.upf
Tl 204.38 Tl.upf
ATOMIC_POSITIONS crystal
Pm 0.2041 0.9069 0.6850
Pm 0.3863 0.3366 0.8907
Pm 0.6137 0.6634 0.1093
Pm 0.0000 0.5000 0.5000
Pm 0.7959 0.0931 0.3150
S 0.5955 0.2081 0.6009
S 0.4045 0.7919 0.3991
S 0.7970 0.6166 0.7894
S 0.2030 0.3834 0.2106
Tl 0.0000 0.0000 0.0000
CELL_PARAMETERS angstrom
0.6596 -1.7963 3.5886
-3.0423 -6.4847 -0.3824
7.0960 -5.7088 -1.8575
```

Output
E: -5.918 eV/atom
DOS at the Fermi energy: 3.635 states/eV/f.u.
energy relative to the elements, uncorrected: -16.6 eV per formula unit

***

(12)
PmTlS2 | PBE-GGA | optimized geometry Values from VASP.

Geometry as Quantum ESPRESSO input:
```
&SYSTEM
  ibrav = 0, nat = 4, ntyp = 3
/
ATOMIC_SPECIES
Pm 145.00 Pm.upf
Tl 204.38 Tl.upf
S 32.06 S.upf
ATOMIC_POSITIONS crystal
Pm 0.0000 0.0000 0.0000
Tl 0.5000 0.5000 0.5000
S 0.2656 0.2656 0.2030
S 0.7344 0.7344 0.7970
CELL_PARAMETERS angstrom
4.1496 0.0127 0.0158
2.0636 3.6002 0.0158
2.0460 1.1897 7.5127
```

Output
E: -5.308 eV/atom
DOS at the Fermi energy: 0.000 states/eV/f.u.
energy relative to the elements, uncorrected: -5.9 eV per formula unit
relative energy among the computed polymorphs: 0 meV per atom

***

(13)
PmTmTl2S4 | PBE-GGA | optimized geometry Values from VASP.

Geometry as Quantum ESPRESSO input:
```
&SYSTEM
  ibrav = 0, nat = 8, ntyp = 4
/
ATOMIC_SPECIES
Tm 168.93 Tm.upf
S 32.06 S.upf
Pm 145.00 Pm.upf
Tl 204.38 Tl.upf
ATOMIC_POSITIONS crystal
Tm 0.0000 0.0000 0.0000
S 0.5000 0.2232 0.1969
S 0.5000 0.7768 0.8031
S 0.0000 0.7430 0.2009
S 0.0000 0.2570 0.7991
Pm 0.5000 0.5000 0.0000
Tl 0.0000 0.5000 0.5000
Tl 0.5000 0.0000 0.5000
CELL_PARAMETERS angstrom
-0.5453 -2.5333 -3.1278
6.9409 -1.1509 -0.2778
-3.0701 -5.3623 4.8783
```

Output
E: -5.279 eV/atom
DOS at the Fermi energy: 0.000 states/eV/f.u.
energy relative to the elements, uncorrected: -11.8 eV per formula unit

***

(14)
Pm2UTl3S6 | PBE-GGA | optimized geometry Values from VASP.

Geometry as Quantum ESPRESSO input:
```
&SYSTEM
  ibrav = 0, nat = 12, ntyp = 4
/
ATOMIC_SPECIES
Tl 204.38 Tl.upf
S 32.06 S.upf
Pm 145.00 Pm.upf
U 238.03 U.upf
ATOMIC_POSITIONS crystal
Tl 0.5000 0.5000 0.5000
Tl 0.8318 0.1682 0.5000
Tl 0.1682 0.8318 0.5000
S 0.0666 0.3918 0.1998
S 0.6082 0.9334 0.8002
S 0.3918 0.0666 0.1998
S 0.7421 0.7421 0.2016
S 0.9334 0.6082 0.8002
S 0.2579 0.2579 0.7984
Pm 0.6666 0.3334 0.0000
Pm 0.3334 0.6666 0.0000
U 0.0000 0.0000 0.0000
CELL_PARAMETERS angstrom
-6.6547 -1.6658 -1.9366
3.4863 -4.1131 4.6623
-1.6367 6.0807 4.7704
```

Output
E: -5.684 eV/atom
DOS at the Fermi energy: 9.736 states/eV/f.u.
energy relative to the elements, uncorrected: -15.6 eV per formula unit

***

(15)
Pm2UTl2S6 | PBE-GGA | optimized geometry Values from VASP.

Geometry as Quantum ESPRESSO input:
```
&SYSTEM
  ibrav = 0, nat = 11, ntyp = 4
/
ATOMIC_SPECIES
Tl 204.38 Tl.upf
S 32.06 S.upf
Pm 145.00 Pm.upf
U 238.03 U.upf
ATOMIC_POSITIONS crystal
Tl 0.8309 0.1691 0.0000
Tl 0.1691 0.8309 0.0000
S 0.7502 0.7502 0.6977
S 0.6135 0.9361 0.3043
S 0.2498 0.2498 0.3023
S 0.9361 0.6135 0.3043
S 0.3865 0.0639 0.6957
S 0.0639 0.3865 0.6957
Pm 0.6666 0.3334 0.5000
Pm 0.3334 0.6666 0.5000
U 0.0000 0.0000 0.5000
CELL_PARAMETERS angstrom
7.0960 -0.0233 0.0601
-3.5275 6.1572 0.0601
-1.2780 -2.1968 7.4895
```

Output
E: -6.005 eV/atom
DOS at the Fermi energy: 5.829 states/eV/f.u.
energy relative to the elements, uncorrected: -15.8 eV per formula unit

***

(16)
Pm3Tl3VS8 | PBE-GGA | optimized geometry Values from VASP.

Geometry as Quantum ESPRESSO input:
```
&SYSTEM
  ibrav = 0, nat = 15, ntyp = 4
/
ATOMIC_SPECIES
S 32.06 S.upf
Tl 204.38 Tl.upf
Pm 145.00 Pm.upf
V 50.94 V.upf
ATOMIC_POSITIONS crystal
S 0.2643 0.5285 0.2927
S 0.7903 0.0214 0.3117
S 0.2097 0.4194 0.6883
S 0.7903 0.5806 0.3117
S 0.2311 0.0214 0.3117
S 0.7357 0.4715 0.7073
S 0.7689 0.9786 0.6883
S 0.2097 0.9786 0.6883
Tl 0.0000 0.0000 0.0000
Tl 0.5000 0.5000 0.0000
Tl 0.0000 0.5000 0.0000
Pm 0.0000 0.5000 0.5000
Pm 0.5000 0.0000 0.5000
Pm 0.5000 0.5000 0.5000
V 0.0000 0.0000 0.5000
CELL_PARAMETERS angstrom
7.9762 -0.0001 0.0001
-3.9882 6.9078 -0.0312
0.0001 -4.5728 7.5484
```

Output
E: -5.492 eV/atom
DOS at the Fermi energy: 5.847 states/eV/f.u.
energy relative to the elements, uncorrected: -18.9 eV per formula unit

***

(17)
PmYTl2S4 | PBE-GGA | optimized geometry Values from VASP.

Geometry as Quantum ESPRESSO input:
```
&SYSTEM
  ibrav = 0, nat = 8, ntyp = 4
/
ATOMIC_SPECIES
Tl 204.38 Tl.upf
S 32.06 S.upf
Y 88.91 Y.upf
Pm 145.00 Pm.upf
ATOMIC_POSITIONS crystal
Tl 0.5000 0.0000 0.5000
Tl 0.0000 0.5000 0.5000
S 0.5000 0.7725 0.8006
S 0.0000 0.2603 0.7982
S 0.5000 0.2275 0.1994
S 0.0000 0.7397 0.2018
Y 0.0000 0.0000 0.0000
Pm 0.5000 0.5000 0.0000
CELL_PARAMETERS angstrom
-3.2318 -1.3927 -2.0903
3.4172 -6.0903 -1.2255
-3.9915 -0.8463 6.7351
```

Output
E: -5.534 eV/atom
DOS at the Fermi energy: 0.000 states/eV/f.u.
energy relative to the elements, uncorrected: -11.8 eV per formula unit

***

(18)
Pm3YTl4S8 | PBE-GGA | optimized geometry Values from VASP.

Geometry as Quantum ESPRESSO input:
```
&SYSTEM
  ibrav = 0, nat = 16, ntyp = 4
/
ATOMIC_SPECIES
Pm 145.00 Pm.upf
S 32.06 S.upf
Tl 204.38 Tl.upf
Y 88.91 Y.upf
ATOMIC_POSITIONS crystal
Pm 0.5000 0.5000 0.0000
Pm 0.5000 0.5000 0.5000
Pm 0.0000 0.5000 0.5000
S 0.7691 0.2988 0.5382
S 0.7346 0.7037 0.4692
S 0.2654 0.2963 0.5308
S 0.2605 0.2988 0.0296
S 0.7395 0.7012 0.9704
S 0.2309 0.7012 0.4618
S 0.7691 0.2988 0.0296
S 0.2309 0.7012 0.9704
Tl 0.5000 0.0000 0.5000
Tl 0.0000 0.0000 0.5000
Tl 0.0000 0.0000 0.0000
Tl 0.5000 0.0000 0.0000
Y 0.0000 0.5000 0.0000
CELL_PARAMETERS angstrom
-1.8982 -6.6149 -4.5374
3.3618 -5.2881 6.3029
-5.9028 5.3119 2.2130
```

Output
E: -5.420 eV/atom
DOS at the Fermi energy: 0.000 states/eV/f.u.
energy relative to the elements, uncorrected: -23.5 eV per formula unit